[1]
A relaxed Tm2ScAg crystal, computed with PBE-GGA.

Summary:
Energy relative to the elements: 0.11 eV/f.u.
Excess energy over the best structure of this formula in the dataset: 0.60 eV/f.u.
Total magnetization: 0.000 μB per formula unit

Lattice parameters (Å, degrees): 7.3645 7.3645 7.3645 90.00 90.00 90.00
Closest atoms and distances in Å follow each position.
Space group Fm-3m (No. 225)
Asymmetric unit:
Tm 0.2500 0.2500 0.2500  4 Sc 3.19, 4 Ag 3.19
Sc 0.0000 0.0000 0.0000  8 Tm 3.19
Ag 0.0000 0.0000 0.5000  8 Tm 3.19

=====

[2]
A relaxed TmScAg2 crystal, computed with PBE-GGA.

Summary:
Energy relative to the elements: -1.20 eV/f.u.
Excess energy over the best structure of this formula in the dataset: 0.00 eV/f.u.
Total magnetization: 0.000 μB per formula unit

Lattice parameters (Å, degrees): 3.5074 3.5074 7.0386 90.00 90.00 90.00
Closest atoms and distances in Å follow each position.
Space group P4/mmm (No. 123)
Asymmetric unit:
Tm 0.0000 0.0000 0.0000  8 Ag 3.11
Sc 0.0000 0.0000 0.5000  8 Ag 2.97
Ag 0.5000 0.5000 0.2668  4 Sc 2.97, 4 Tm 3.11, 1 Ag 3.28

=====

[3]
A relaxed Tm2ScAg crystal, computed with PBE-GGA.

Summary:
Energy relative to the elements: -0.49 eV/f.u.
Excess energy over the best structure of this formula in the dataset: 0.00 eV/f.u.
Total magnetization: 0.000 μB per formula unit

Lattice parameters (Å, degrees): 3.4638 3.4638 8.4520 90.00 90.00 90.00
Closest atoms and distances in Å follow each position.
Space group P4/mmm (No. 123)
Asymmetric unit:
Tm 0.0000 0.0000 0.2274  4 Ag 3.11, 4 Sc 3.36, 4 Tm 3.46
Sc 0.5000 0.5000 0.5000  8 Tm 3.36, 4 Sc 3.46
Ag 0.5000 0.5000 0.0000  8 Tm 3.11, 4 Ag 3.46

=====

[4]
A relaxed Tm3Sc2Ag2 crystal, computed with PBE-GGA.

Summary:
Energy relative to the elements: -0.07 eV/f.u.
Excess energy over the best structure of this formula in the dataset: 0.45 eV/f.u.
Total magnetization: 0.000 μB per formula unit

Lattice parameters (Å, degrees): 4.7439 21.4854 3.3364 90.00 90.00 90.00
Closest atoms and distances in Å follow each position.
Space group Cmmm (No. 65)
Asymmetric unit:
Tm 0.0000 0.0000 0.0000  4 Tm 3.20-3.34, 8 Ag 3.29
Tm 0.0000 0.1490 0.0000  3 Tm 3.20-3.34, 6 Sc 3.21-3.40, 4 Ag 3.33
Sc 0.0000 0.2869 0.5000  2 Sc 2.85, 1 Ag 3.02
Ag 0.0000 0.4277 0.5000  1 Sc 3.02, 3 Ag 3.11-3.34, 8 Tm 3.29-3.33

=====

[5]
A relaxed Tm2Sc2Ag crystal, computed with PBE-GGA.

Summary:
Energy relative to the elements: 0.32 eV/f.u.
Total magnetization: 1.948 μB per formula unit

Lattice parameters (Å, degrees): 4.8135 4.8135 23.4236 90.00 90.00 90.00
Closest atoms and distances in Å follow each position.
Space group I4_1/amd (No. 141, origin choice 2)
Asymmetric unit:
Tm 0.0000 0.2500 0.0509  2 Ag 2.97
Sc 0.0000 0.2500 0.2009  2 Ag 2.99, 2 Sc 3.33
Ag 0.0000 0.2500 0.8750  4 Tm 2.97, 4 Sc 2.99

=====

[6]
A relaxed Tm3Sc2Ag3 crystal, computed with PBE-GGA.

Summary:
Energy relative to the elements: -1.89 eV/f.u.
Total magnetization: 0.000 μB per formula unit

Lattice parameters (Å, degrees): 3.5369 5.0744 20.9306 90.00 90.00 90.00
Closest atoms and distances in Å follow each position.
Space group Immm (No. 71)
Asymmetric unit:
Tm 0.0000 0.0000 0.0000  8 Ag 3.09-3.11
Tm 0.0000 0.5000 0.1238  6 Ag 3.09-3.14, 2 Sc 3.43
Sc 0.0000 0.0000 0.2338  2 Ag 2.93, 4 Sc 3.17
Ag 0.0000 0.0000 0.5000  8 Tm 3.09-3.14
Ag 0.0000 0.5000 0.3777  2 Sc 2.93, 6 Tm 3.09-3.11

=====

[7]
A relaxed Tm2ScAg crystal, computed with PBE-GGA.

Summary:
Energy relative to the elements: -0.18 eV/f.u.
Excess energy over the best structure of this formula in the dataset: 0.31 eV/f.u.
Total magnetization: 0.000 μB per formula unit

Lattice parameters (Å, degrees): 5.1738 5.1738 3.7148 90.00 90.00 90.00
Closest atoms and distances in Å follow each position.
Space group P4/mmm (No. 123)
Asymmetric unit:
Tm 0.0000 0.5000 0.0000  4 Sc 3.18, 4 Ag 3.18
Sc 0.0000 0.0000 0.5000  8 Tm 3.18
Ag 0.5000 0.5000 0.5000  8 Tm 3.18

=====

[8]
A relaxed Tm4ScAg3 crystal, computed with PBE-GGA.

Summary:
Energy relative to the elements: -1.53 eV/f.u.
Total magnetization: 0.004 μB per formula unit

Lattice parameters (Å, degrees): 3.6006 5.1345 10.3824 90.00 90.00 90.00
Closest atoms and distances in Å follow each position.
Space group Pmmm (No. 47)
Asymmetric unit:
Tm 0.0000 0.0000 0.0000  8 Ag 3.14-3.23
Tm 0.0000 0.0000 0.5000  4 Ag 3.09, 4 Sc 3.14
Tm 0.0000 0.5000 0.2390  6 Ag 3.07-3.14, 2 Sc 3.25
Sc 0.5000 0.5000 0.5000  8 Tm 3.14-3.25
Ag 0.5000 0.0000 0.2585  8 Tm 3.09-3.23
Ag 0.5000 0.5000 0.0000  8 Tm 3.07-3.14